# 1
# SbWBr2

Crystalline SbWBr2 at its relaxed geometry (PBE-GGA, Alexandria via LeMat-Bulk).

```
data_SbWBr2
_cell_length_a 5.692
_cell_length_b 3.200
_cell_length_c 11.100
_cell_angle_alpha 90.00
_cell_angle_beta 92.12
_cell_angle_gamma 90.00
_space_group_name_H-M_alt 'C 1 2/m 1'
_space_group_IT_number 12
loop_
_space_group_symop_operation_xyz
'x,y,z'
'-x,-y,-z'
'-x,y,-z'
'x,-y,z'
'x+1/2,y+1/2,z'
'-x+1/2,-y+1/2,-z'
'-x+1/2,y+1/2,-z'
'x+1/2,-y+1/2,z'
loop_
_atom_site_label
_atom_site_type_symbol
_atom_site_fract_x
_atom_site_fract_y
_atom_site_fract_z
_atom_site_occupancy
Sb1 Sb 0.000 0.000 0.000 1
W1 W 0.000 0.000 0.500 1
Br1 Br 0.159 0.500 0.332 1
```

Calculated values
For the calculated volume, the calculation gives 25.26 Å³/atom. The energy above the most stable polymorph in this dataset comes out at 325.3 meV/atom. The total magnetization comes out at 0.0000 μB per atom. As for the uncorrected formation energy: 416 meV/atom.


# 2
# SbWBr4

Crystalline SbWBr4 at its relaxed geometry (PBE-GGA, Alexandria via LeMat-Bulk).

```
data_SbWBr4
_cell_length_a 8.655
_cell_length_b 8.655
_cell_length_c 8.655
_cell_angle_alpha 90.00
_cell_angle_beta 90.00
_cell_angle_gamma 90.00
_space_group_name_H-M_alt 'F -4 3 m'
_space_group_IT_number 216
_space_group_name_Hall 'F -4 2 3'
loop_
_atom_site_label
_atom_site_type_symbol
_atom_site_fract_x
_atom_site_fract_y
_atom_site_fract_z
_atom_site_occupancy
Sb1 Sb 0.000 0.000 0.000 1
W1 W 0.250 0.250 0.750 1
Br1 Br 0.125 0.125 0.375 1
```

Calculated values
For the calculated volume, the calculation gives 27.01 Å³/atom. The total magnetization comes out at 0.5987 μB per atom. As for the uncorrected formation energy: 1477 meV/atom.


# 3
# Sb2WBr

Crystalline Sb2WBr at its relaxed geometry (PBE-GGA, Alexandria via LeMat-Bulk).

```
data_Sb2WBr
_cell_length_a 3.759
_cell_length_b 3.427
_cell_length_c 8.470
_cell_angle_alpha 90.00
_cell_angle_beta 102.66
_cell_angle_gamma 90.00
_space_group_name_H-M_alt 'P 1 m 1'
_space_group_IT_number 6
loop_
_space_group_symop_operation_xyz
'x,y,z'
'x,-y,z'
loop_
_atom_site_label
_atom_site_type_symbol
_atom_site_fract_x
_atom_site_fract_y
_atom_site_fract_z
_atom_site_occupancy
Sb1 Sb 0.000 0.000 0.000 1
Sb2 Sb 0.387 0.500 0.771 1
W1 W 0.822 0.000 0.640 1
Br1 Br 0.704 0.500 0.400 1
```

Calculated values
For the calculated volume, the calculation gives 26.61 Å³/atom. The energy above the most stable polymorph in this dataset comes out at 43.2 meV/atom. The total magnetization comes out at 0.0000 μB per atom. As for the uncorrected formation energy: 301 meV/atom.


# 4
# Sb2WBr

Crystalline Sb2WBr at its relaxed geometry (PBE-GGA, Alexandria via LeMat-Bulk).

```
data_Sb2WBr
_cell_length_a 3.208
_cell_length_b 5.035
_cell_length_c 12.394
_cell_angle_alpha 90.00
_cell_angle_beta 90.00
_cell_angle_gamma 90.00
_space_group_name_H-M_alt 'I m m m'
_space_group_IT_number 71
_space_group_name_Hall '-I 2 2'
loop_
_atom_site_label
_atom_site_type_symbol
_atom_site_fract_x
_atom_site_fract_y
_atom_site_fract_z
_atom_site_occupancy
Sb1 Sb 0.000 0.000 0.183 1
W1 W 0.000 0.500 0.500 1
Br1 Br 0.000 0.500 0.000 1
```

Calculated values
For the calculated volume, the calculation gives 25.02 Å³/atom. The energy above the most stable polymorph in this dataset comes out at 393.7 meV/atom. The total magnetization comes out at 0.0000 μB per atom. As for the uncorrected formation energy: 652 meV/atom.


# 5
# SbWBr2

Crystalline SbWBr2 at its relaxed geometry (PBE-GGA, Alexandria via LeMat-Bulk).

```
data_SbWBr2
_cell_length_a 9.945
_cell_length_b 3.324
_cell_length_c 7.704
_cell_angle_alpha 90.00
_cell_angle_beta 110.53
_cell_angle_gamma 90.00
_space_group_name_H-M_alt 'C 1 m 1'
_space_group_IT_number 8
loop_
_space_group_symop_operation_xyz
'x,y,z'
'x,-y,z'
'x+1/2,y+1/2,z'
'x+1/2,-y+1/2,z'
loop_
_atom_site_label
_atom_site_type_symbol
_atom_site_fract_x
_atom_site_fract_y
_atom_site_fract_z
_atom_site_occupancy
Sb1 Sb 0.000 0.000 0.000 1
W1 W 0.285 0.000 0.000 1
Br1 Br 0.164 0.500 0.718 1
Br2 Br 0.317 0.500 0.282 1
```

Calculated values
For the calculated volume, the calculation gives 29.81 Å³/atom. The energy above the most stable polymorph in this dataset comes out at 0.0 meV/atom. The total magnetization comes out at 0.0000 μB per atom. As for the uncorrected formation energy: 91 meV/atom.


# 6
# Sb2WBr

Crystalline Sb2WBr at its relaxed geometry (PBE-GGA, Alexandria via LeMat-Bulk).

```
data_Sb2WBr
_cell_length_a 4.230
_cell_length_b 4.230
_cell_length_c 5.336
_cell_angle_alpha 90.00
_cell_angle_beta 90.00
_cell_angle_gamma 90.00
_space_group_name_H-M_alt 'P 4/m m m'
_space_group_IT_number 123
_space_group_name_Hall '-P 4 2'
loop_
_atom_site_label
_atom_site_type_symbol
_atom_site_fract_x
_atom_site_fract_y
_atom_site_fract_z
_atom_site_occupancy
Sb1 Sb 0.000 0.500 0.000 1
W1 W 0.000 0.000 0.500 1
Br1 Br 0.500 0.500 0.500 1
```

Calculated values
For the calculated volume, the calculation gives 23.87 Å³/atom. The energy above the most stable polymorph in this dataset comes out at 861.6 meV/atom. The total magnetization comes out at 0.6600 μB per atom. As for the uncorrected formation energy: 1120 meV/atom.